Record 1
K2MoP2, relaxed, DFT PBE-GGA; space group = I4/mmm (139); E_form = 1.301 eV per atom; density of states at the Fermi level = 2.41 states/eV/f.u.
1.0
5.508 0.000 0.000
0.000 5.508 0.000
0.000 0.000 8.928
K Mo P
4 2 4
direct
0.000 0.000 0.147
0.000 0.000 0.853
0.500 0.500 0.353
0.500 0.500 0.647
0.000 0.000 0.500
0.500 0.500 0.000
0.000 0.500 0.250
0.000 0.500 0.750
0.500 0.000 0.250
0.500 0.000 0.750



Record 2
CaY3N, relaxed, DFT PBE-GGA; space group = Pm-3m (221); energy relative to the lowest polymorph listed for this composition = 12.74 eV/f.u.; formation energy (no corrections) = 2.08 eV/atom; density of states at the Fermi level = 8.22 states/eV/f.u.
1.0
5.456 0.000 0.000
0.000 5.456 0.000
0.000 0.000 5.456
Ca Y N
1 3 1
direct
0.000 0.000 0.000
0.000 0.000 0.500
0.000 0.500 0.000
0.500 0.000 0.000
0.500 0.500 0.500



Record 3
CaYIrAu, relaxed, DFT PBE-GGA; space group = F-43m (216); E_form = -0.653 eV per atom; density of states at the Fermi level = 3.11 states/eV/f.u.
1.0
7.021 0.000 0.000
0.000 7.021 0.000
0.000 0.000 7.021
Ca Y Ir Au
4 4 4 4
direct
0.000 0.000 0.000
0.000 0.500 0.500
0.500 0.000 0.500
0.500 0.500 0.000
0.000 0.000 0.500
0.000 0.500 0.000
0.500 0.000 0.000
0.500 0.500 0.500
0.250 0.250 0.750
0.250 0.750 0.250
0.750 0.250 0.250
0.750 0.750 0.750
0.250 0.250 0.250
0.250 0.750 0.750
0.750 0.250 0.750
0.750 0.750 0.250



The highest density of states at the Fermi level belongs to which entry? CaY3N



The highest density of states at the Fermi level belongs to which entry? CaY3N



Number 3 is which compound? CaYIrAu